Material: Zr2WAu
Method: DFT, PBE
State: relaxed

POSCAR file:
```
Zr2WAu
1.0
4.7451 0.0000 0.0000
0.0000 4.7451 0.0000
0.0000 0.0000 3.4420
Zr W Au
2 1 1
Cartesian
0.0000 2.3726 0.0000
2.3726 0.0000 0.0000
0.0000 0.0000 1.7210
2.3726 2.3726 1.7210
```

Results
Symmetry ... P4/mmm, No. 123
Calculated formation energy ... -0.6 eV/f.u.
Relative energy among the computed polymorphs ... 0.086 eV per atom
Crystal system ... tetragonal

---

Material: ReTeW2
Method: DFT, PBE
State: relaxed

POSCAR file:
```
ReTeW2
1.0
-1.9458 1.9458 4.4464
1.9458 -1.9458 4.4464
1.9458 1.9458 -4.4464
Re Te W
1 1 2
Cartesian
0.0000 0.0000 0.0000
0.0000 0.0000 4.4464
1.9458 0.0000 2.2232
0.0000 1.9458 2.2232
```

Results
Symmetry ... I4/mmm, No. 139
Formation energy from raw total energies ... 796 meV/atom
Crystal system ... tetragonal

---

Material: Sc2TlTe
Method: DFT, PBE
State: relaxed

POSCAR file:
```
Sc2TlTe
1.0
-2.1276 2.1276 5.2861
2.1276 -2.1276 5.2861
2.1276 2.1276 -5.2861
Sc Tl Te
2 1 1
Cartesian
0.0000 0.0000 0.0000
0.0000 2.1276 2.6430
0.0000 0.0000 5.2861
2.1276 0.0000 2.6430
```

Results
Symmetry ... I-4m2, No. 119
Formation energy from raw total energies ... -501 meV/atom
Relative energy among the computed polymorphs ... 0.148 eV per atom
Crystal system ... tetragonal

---

| no. | theoretical density (g/cm³) |
| --- | --- |
| 1 | 12.068 |
| 2 | 16.805 |
| 3 | 7.320 |